Record 1
Compound: TbZn2Ge2
Source: OQMD via LeMat-Bulk
Functional: GGA-PBE
Structure: optimized geometry

Properties
raw total energy: -0.2668 Ry per atom
crystal system: tetragonal
SG: I4/mmm
magnetization: 0.0 Bohr magnetons per cell

Cell lengths 6.316, 6.316, 6.316 Å; angles 142.28, 142.28, 54.41 degrees
Fractional positions:
Tb 0.000 0.000 0.000
Zn 0.250 0.750 0.500
Zn 0.750 0.250 0.500
Ge 0.388 0.388 0.000
Ge 0.612 0.612 0.000

---

Record 2
Compound: Tb4Zn5Ge6
Source: OQMD via LeMat-Bulk
Functional: GGA-PBE
Structure: optimized geometry

Properties
raw total energy: -0.2929 Ry per atom
crystal system: orthorhombic
SG: Cmc2_1
magnetization: 0.0 Bohr magnetons per cell

Cell lengths 9.463, 9.463, 15.769 Å; angles 90.00, 90.00, 153.82 degrees
Fractional positions:
Tb 0.033 0.967 0.500
Tb 0.033 0.967 0.771
Tb 0.172 0.828 0.316
Tb 0.180 0.820 0.957
Tb 0.820 0.180 0.457
Tb 0.828 0.172 0.816
Tb 0.967 0.033 0.000
Tb 0.967 0.033 0.271
Zn 0.147 0.853 0.632
Zn 0.291 0.709 0.627
Zn 0.344 0.656 0.273
Zn 0.424 0.576 0.554
Zn 0.431 0.569 0.718
Zn 0.569 0.431 0.218
Zn 0.576 0.424 0.054
Zn 0.656 0.344 0.773
Zn 0.709 0.291 0.127
Zn 0.853 0.147 0.132
Ge 0.115 0.885 0.136
Ge 0.212 0.788 0.494
Ge 0.224 0.776 0.771
Ge 0.430 0.570 0.876
Ge 0.432 0.568 0.399
Ge 0.440 0.560 0.136
Ge 0.560 0.440 0.636
Ge 0.568 0.432 0.899
Ge 0.570 0.430 0.376
Ge 0.776 0.224 0.271
Ge 0.788 0.212 0.994
Ge 0.885 0.115 0.636

---

Record 3
Compound: TbZnGe
Source: OQMD via LeMat-Bulk
Functional: GGA-PBE
Structure: optimized geometry

Properties
raw total energy: -0.3076 Ry per atom
crystal system: hexagonal
SG: P6_3/mmc
magnetization: 0.0 Bohr magnetons per cell

Cell lengths 4.237, 4.237, 15.784 Å; angles 90.00, 90.00, 120.00 degrees
Fractional positions:
Tb 0.000 0.000 0.000
Tb 0.000 0.000 0.250
Tb 0.000 0.000 0.500
Tb 0.000 0.000 0.750
Zn 0.333 0.667 0.146
Zn 0.333 0.667 0.354
Zn 0.667 0.333 0.646
Zn 0.667 0.333 0.854
Ge 0.333 0.667 0.614
Ge 0.333 0.667 0.886
Ge 0.667 0.333 0.114
Ge 0.667 0.333 0.386

---

Number 1: V 18.74 Å³/atom. Number 2: V 20.77 Å³/atom. Number 3: V 20.45 Å³/atom.